*i*
The following is a PBE calculation of an optimized crystal structure of DyHAu, from the Alexandria database.

Cell: 3.7300 3.7300 7.0158 Å, 90.00 90.00 90.00°
Closest atoms and distances in Å follow each position.
Sites, in units of the cell vectors:
1 Dy 0.2500 0.2500 0.1781  4 H 2.25
2 Dy 0.7500 0.7500 0.8219  4 H 2.25
3 H 0.2500 0.7500 0.0000  4 Dy 2.25
4 H 0.7500 0.2500 0.0000  4 Dy 2.25
5 Au 0.2500 0.2500 0.6125  5 Dy 3.02-3.05, 4 Au 3.07, 4 H 3.30
6 Au 0.7500 0.7500 0.3875  5 Dy 3.02-3.05, 4 Au 3.07, 4 H 3.30

Crystal system: tetragonal
Total magnetic moment in μB/f.u.: 0.0

*ii*
The following is a PBE calculation of an optimized crystal structure of DyHAu, from the Alexandria database.

Cell: 6.4035 3.8785 9.3104 Å, 90.00 90.00 90.00°
Closest atoms and distances in Å follow each position.
Sites, in units of the cell vectors:
1 Dy 0.1596 0.2500 0.1096  3 H 2.17
2 Dy 0.3404 0.7500 0.6096  3 H 2.17
3 Dy 0.6596 0.2500 0.3904  3 H 2.17
4 Dy 0.8404 0.7500 0.8904  3 H 2.17
5 H 0.0086 0.7500 0.0930  3 Dy 2.17
6 H 0.4914 0.2500 0.5930  3 Dy 2.17
7 H 0.5086 0.7500 0.4070  3 Dy 2.17
8 H 0.9914 0.2500 0.9070  3 Dy 2.17
9 Au 0.1260 0.2500 0.4188  3 H 2.85-3.13, 4 Dy 2.89-3.00, 2 Au 2.94
10 Au 0.3740 0.7500 0.9188  3 H 2.85-3.13, 4 Dy 2.89-3.00, 2 Au 2.94
11 Au 0.6260 0.2500 0.0812  3 H 2.85-3.13, 4 Dy 2.89-3.00, 2 Au 2.94
12 Au 0.8740 0.7500 0.5812  3 H 2.85-3.13, 4 Dy 2.89-3.00, 2 Au 2.94

Crystal system: orthorhombic
Total magnetic moment in μB/f.u.: 0.0

The relative energies come out as *i* 0; *ii* 297, with values in meV/atom.

*i*
The following is a PBE calculation of an optimized crystal structure of Dy4HgAu, from the Alexandria database.

Cell: 7.2272 7.2657 7.0715 Å, 90.00 92.34 90.00°
Closest atoms and distances in Å follow each position.
Sites, in units of the cell vectors:
1 Dy 0.1533 0.1590 0.1671  2 Au 2.88-2.94, 1 Hg 3.04
2 Dy 0.1533 0.3410 0.6671  2 Au 2.88-2.94, 1 Hg 3.04
3 Dy 0.3388 0.6510 0.1338  1 Au 2.81, 2 Hg 2.96-3.00
4 Dy 0.3388 0.8490 0.6338  1 Au 2.81, 2 Hg 2.96-3.00
5 Dy 0.6612 0.1510 0.3662  1 Au 2.81, 2 Hg 2.96-3.00
6 Dy 0.6612 0.3490 0.8662  1 Au 2.81, 2 Hg 2.96-3.00
7 Dy 0.8467 0.6590 0.3329  2 Au 2.88-2.94, 1 Hg 3.04
8 Dy 0.8467 0.8410 0.8329  2 Au 2.88-2.94, 1 Hg 3.04
9 Hg 0.5000 0.0000 0.0000  6 Dy 2.96-3.04
10 Hg 0.5000 0.5000 0.5000  6 Dy 2.96-3.04
11 Au 0.0000 0.0000 0.5000  6 Dy 2.81-2.94
12 Au 0.0000 0.5000 0.0000  6 Dy 2.81-2.94

Crystal system: monoclinic
Total magnetic moment in μB/f.u.: 0.0

*ii*
The following is a PBE calculation of an optimized crystal structure of Dy4HgAu, from the Alexandria database.

Cell: 8.4487 3.7579 20.6168 Å, 90.00 90.00 90.00°
Closest atoms and distances in Å follow each position.
Sites, in units of the cell vectors:
1 Dy 0.0274 0.2500 0.0684  2 Au 2.93
2 Dy 0.0418 0.7500 0.2128  4 Hg 3.21-3.30, 6 Dy 3.47-3.52
3 Dy 0.1276 0.7500 0.6639  2 Au 3.04, 2 Hg 3.15-3.32
4 Dy 0.1505 0.7500 0.4414  3 Au 3.01-3.04, 2 Hg 3.30
5 Dy 0.3495 0.2500 0.9414  3 Au 3.01-3.04, 2 Hg 3.30
6 Dy 0.3724 0.2500 0.1639  2 Au 3.04, 2 Hg 3.15-3.32
7 Dy 0.4582 0.2500 0.7128  4 Hg 3.21-3.30, 6 Dy 3.47-3.52
8 Dy 0.4726 0.7500 0.5684  2 Au 2.93
9 Dy 0.5274 0.2500 0.4316  2 Au 2.93
10 Dy 0.5418 0.7500 0.2872  4 Hg 3.21-3.30, 6 Dy 3.47-3.52
11 Dy 0.6276 0.7500 0.8361  2 Au 3.04, 2 Hg 3.15-3.32
12 Dy 0.6505 0.7500 0.0586  3 Au 3.01-3.04, 2 Hg 3.30
13 Dy 0.8495 0.2500 0.5586  3 Au 3.01-3.04, 2 Hg 3.30
14 Dy 0.8724 0.2500 0.3361  2 Au 3.04, 2 Hg 3.15-3.32
15 Dy 0.9582 0.2500 0.7872  4 Hg 3.21-3.30, 6 Dy 3.47-3.52
16 Dy 0.9726 0.7500 0.9316  2 Au 2.93
17 Hg 0.2414 0.2500 0.3155  9 Dy 3.15-3.40
18 Hg 0.2586 0.7500 0.8155  9 Dy 3.15-3.40
19 Hg 0.7414 0.2500 0.1845  9 Dy 3.15-3.40
20 Hg 0.7586 0.7500 0.6845  9 Dy 3.15-3.40
21 Au 0.2087 0.2500 0.5527  7 Dy 2.93-3.04
22 Au 0.2913 0.7500 0.0527  7 Dy 2.93-3.04
23 Au 0.7087 0.2500 0.9473  7 Dy 2.93-3.04
24 Au 0.7913 0.7500 0.4473  7 Dy 2.93-3.04

Crystal system: orthorhombic
Total magnetic moment in μB/f.u.: 0.0

The relative energies come out as *i* 181; *ii* 0, with values in meV/atom.